# InAsRu2 PBE relaxed
data_InAsRu2
_chemical_formula_sum 'In2 As2 Ru4'
_space_group_name_H-M_alt 'C 1 2/m 1'
_space_group_IT_number 12
_space_group_name_Hall '-C 2y'
_cell_length_a 5.982
_cell_length_b 8.291
_cell_length_c 3.016
_cell_angle_alpha 90.00
_cell_angle_beta 116.82
_cell_angle_gamma 90.00
loop_
_atom_site_label
_atom_site_type_symbol
_atom_site_fract_x
_atom_site_fract_y
_atom_site_fract_z
In1 In 0.000 0.000 0.000
As1 As 0.000 0.500 0.000
Ru1 Ru 0.250 0.250 0.500
# - Total magnetic moment: 0.000 μB/cell
# - Crystal system: monoclinic
# - N(E_F): 8.507 states/eV/cell
# - Energy: -49.03 eV for the cell shown

***

# In2AsRu PBE relaxed
data_In2AsRu
_chemical_formula_sum 'In4 As2 Ru2'
_space_group_name_H-M_alt 'I -4 m 2'
_space_group_IT_number 119
_space_group_name_Hall 'I -4 -2'
_cell_length_a 4.221
_cell_length_b 4.221
_cell_length_c 8.621
_cell_angle_alpha 90.00
_cell_angle_beta 90.00
_cell_angle_gamma 90.00
loop_
_atom_site_label
_atom_site_type_symbol
_atom_site_fract_x
_atom_site_fract_y
_atom_site_fract_z
In1 In 0.000 0.000 0.000
In2 In 0.000 0.500 0.250
As1 As 0.000 0.000 0.500
Ru1 Ru 0.000 0.500 0.750
# - Total magnetic moment: 0.015 μB/cell
# - Crystal system: tetragonal
# - N(E_F): 9.144 states/eV/cell
# - Energy: -36.43 eV for the cell shown

***

# In2AsRu PBE relaxed
data_In2AsRu
_chemical_formula_sum 'In4 As2 Ru2'
_space_group_name_H-M_alt 'I m m 2'
_space_group_IT_number 44
_space_group_name_Hall 'I 2 -2'
_cell_length_a 3.051
_cell_length_b 4.595
_cell_length_c 12.031
_cell_angle_alpha 90.00
_cell_angle_beta 90.00
_cell_angle_gamma 90.00
loop_
_atom_site_label
_atom_site_type_symbol
_atom_site_fract_x
_atom_site_fract_y
_atom_site_fract_z
In1 In 0.000 0.000 0.000
In2 In 0.000 0.500 0.194
As1 As 0.000 0.500 0.822
Ru1 Ru 0.000 0.000 0.487
# - Total magnetic moment: 0.000 μB/cell
# - Crystal system: orthorhombic
# - N(E_F): 4.274 states/eV/cell
# - Energy: -39.01 eV for the cell shown

***

# InAsRu PBE relaxed
data_InAsRu
_chemical_formula_sum 'In1 As1 Ru1'
_space_group_name_H-M_alt 'P -6 m 2'
_space_group_IT_number 187
_space_group_name_Hall 'P -6 2'
_cell_length_a 4.2930
_cell_length_b 4.2930
_cell_length_c 3.4480
_cell_angle_alpha 90.00
_cell_angle_beta 90.00
_cell_angle_gamma 120.00
loop_
_atom_site_label
_atom_site_type_symbol
_atom_site_fract_x
_atom_site_fract_y
_atom_site_fract_z
In1 In 0.0000 0.0000 0.0000
As1 As 0.6667 0.3333 0.5000
Ru1 Ru 0.3333 0.6667 0.5000
# - Total magnetic moment: 0.000 μB/cell
# - Crystal system: hexagonal
# - N(E_F): 3.046 states/eV/cell
# - Energy: -16.20 eV for the cell shown